Material: FeCl3
Method: DFT, SCAN
State: PBEsol geometry

The structure belongs to space group R-3 (No. 148, hexagonal axes); the cell edges are 5.7298, 5.7298 and 17.4980 Å and the angles 90.00°, 90.00° and 120.00°. The distinct sites, in fractional coordinates, are Fe at (0.0000, 0.0000, 0.1666) and Cl at (0.9998, 0.3605, 0.5720).

As for the formation energy (no corrections): -0.802 eV per atom. For the total energy, the calculation gives -0.832 Ry/atom.

***

Material: Cr3Se2
Method: DFT, SCAN
State: PBEsol geometry

The structure belongs to space group R-3m (No. 166, hexagonal axes); the cell edges are 2.9689, 2.9689 and 27.5222 Å and the angles 90.00°, 90.00° and 120.00°. The distinct sites, in fractional coordinates, are Cr at (0.0000, 0.0000, 0.0000), Cr at (0.0000, 0.0000, 0.1925) and Se at (0.0000, 0.0000, 0.3956).

As for the formation energy (no corrections): 0.300 eV per atom. For the total energy, the calculation gives -1.379 Ry/atom. The relative energy among the computed polymorphs comes out at 0.218 eV per atom.

***

Number 1 is which compound?
FeCl3